1.
VASP calculation (GGA-PBE) on a relaxed CaDy4Y3S8 crystal.

Lattice parameters (Å, degrees): 7.8430 7.8423 7.8434 120.01 120.00 90.00
Atoms (fractional coordinates):
Y  0.5000  0.5000  0.5000
S  0.7494  0.2485  0.4988
S  0.2496  0.2487  0.4991
S  0.7494  0.2485  0.9991
S  0.2498  0.2485  0.9991
Dy  0.0000  0.0000  0.5000
Ca  0.0000  0.5000  0.0000
S  0.2506  0.7515  0.5012
Dy  0.5000  0.0000  0.5000
S  0.7504  0.7513  0.5009
Dy  0.0000  0.0000  0.0000
Y  0.5000  0.5000  0.0000
Dy  0.5000  0.0000  0.0000
Y  0.0000  0.5000  0.5000
S  0.7502  0.7515  0.0009
S  0.2506  0.7515  0.0009

Values from the calculation:
The calculation puts the raw formation energy at -2004 meV/atom. Its crystal system is trigonal.

---

2.
VASP calculation (GGA-PBE) on a relaxed Pu3Pa6Ru crystal.

Lattice parameters (Å, degrees): 3.5621 13.2758 11.0786 120.02 90.00 90.00
Atoms (fractional coordinates):
Pa  0.2500  0.0582  0.8933
Pu  0.7500  0.4643  0.8817
Pa  0.2500  0.2577  0.7630
Pa  0.7500  0.9418  0.1067
Pa  0.7500  0.3083  0.0676
Pa  0.7500  0.7554  0.7056
Pa  0.2500  0.8877  0.5404
Pa  0.2500  0.5531  0.3954
Pa  0.2500  0.6917  0.9324
Pa  0.2500  0.2446  0.2944
Pu  0.2500  0.8664  0.8997
Pu  0.7500  0.1336  0.1003
Pa  0.7500  0.7423  0.2370
Ru  0.7500  0.0735  0.6988
Pu  0.7500  0.7043  0.4417
Ru  0.2500  0.9265  0.3012
Pu  0.2500  0.5357  0.1183
Pa  0.7500  0.4469  0.6046
Pa  0.7500  0.1123  0.4596
Pu  0.2500  0.2957  0.5583

Values from the calculation:
The formation energy from the elements comes out at 0.096 eV/atom. Its crystal system is monoclinic.

---

3.
VASP calculation (GGA-PBE) on a relaxed TbNd15Ho4 crystal.

Lattice parameters (Å, degrees): 5.1595 5.1595 25.6743 90.00 90.00 90.00
Atoms (fractional coordinates):
Nd  0.0000  0.5000  0.1003
Ho  0.0000  0.0000  0.4000
Nd  0.5000  0.0000  0.8997
Nd  0.5000  0.5000  0.4000
Nd  0.0000  0.5000  0.6999
Ho  0.0000  0.0000  0.7998
Nd  0.5000  0.5000  0.2003
Nd  0.0000  0.5000  0.5000
Ho  0.0000  0.0000  0.2002
Nd  0.0000  0.5000  0.3001
Tb  0.0000  0.0000  0.0000
Nd  0.5000  0.5000  0.0000
Nd  0.5000  0.0000  0.6999
Nd  0.5000  0.0000  0.5000
Nd  0.5000  0.0000  0.3001
Nd  0.0000  0.5000  0.8997
Ho  0.0000  0.0000  0.6000
Nd  0.5000  0.5000  0.6000
Nd  0.5000  0.0000  0.1003
Nd  0.5000  0.5000  0.7997

Values from the calculation:
The formation energy from the elements comes out at 0.011 eV/atom. Its crystal system is tetragonal.

---

4.
VASP calculation (GGA-PBE) on a relaxed ScBeTeI2 crystal.

Lattice parameters (Å, degrees): 5.0920 5.0920 5.3756 90.00 90.00 90.00
Atoms (fractional coordinates):
I  0.0000  0.5000  0.0000
Sc  0.5000  0.5000  0.5000
I  0.5000  0.0000  0.0000
Te  0.0000  0.0000  0.5000
Be  0.0000  0.0000  0.0000

Values from the calculation:
The calculation puts the raw formation energy at 27 meV/atom. As for the energy above the most stable polymorph in this dataset: 0 meV/atom. Its crystal system is tetragonal.

---

5.
VASP calculation (GGA-PBE) on a relaxed Li2HfW crystal.

Lattice parameters (Å, degrees): 3.7628 3.7628 11.0646 80.21 80.21 90.00
Atoms (fractional coordinates):
Li  0.0995  0.6250  0.2500
W  0.7500  0.2500  0.5000
Li  0.8750  0.9005  0.7500
Hf  0.5000  0.5000  0.0000
Hf  0.2500  0.7500  0.5000
W  0.0000  0.0000  0.0000
Li  0.3750  0.3495  0.7500
Li  0.6505  0.1250  0.2500

Values from the calculation:
The formation energy from the elements comes out at 0.748 eV/atom. As for the energy above the most stable polymorph in this dataset: 68 meV/atom. Its crystal system is tetragonal.

---

6.
VASP calculation (GGA-PBE) on a relaxed PrYEr2Sc4 crystal.

Lattice parameters (Å, degrees): 9.1007 9.1007 11.3028 128.39 128.39 88.28
Atoms (fractional coordinates):
Sc  0.2557  0.7490  0.0024
Er  0.5000  0.5000  0.0000
Er  0.0000  0.0000  0.5000
Pr  0.5000  0.5000  0.5000
Sc  0.7493  0.7534  0.4977
Y  0.0000  0.5000  0.0000
Sc  0.2490  0.7557  0.5024
Sc  0.2534  0.2493  0.9977
Sc  0.2507  0.2466  0.5023
Y  0.0000  0.5000  0.5000
Er  0.5000  0.0000  0.5000
Er  0.5000  0.0000  0.0000
Sc  0.7466  0.7507  0.0023
Sc  0.7510  0.2443  0.4976
Pr  0.0000  0.0000  0.0000
Sc  0.7443  0.2510  0.9976

Values from the calculation:
The formation energy from the elements comes out at 0.439 eV/atom. Its crystal system is monoclinic.

---

Computed theoretical density (Mg/m³) in order:
5.9; 16.2; 7.2; 5.2; 8.2; 5.3